# CaY2BiRh | Alexandria | PBE | relaxed
# **ΔH_f (0 K)**: 1.207 eV per atom
# **Calculated volume**: 160.3 Å³/f.u.
# **Symmetry**: P4/mmm, No. 123
data_CaY2BiRh
_chemical_formula_sum 'Ca1 Y2 Bi1 Rh1'
_cell_length_a 5.439
_cell_length_b 5.439
_cell_length_c 5.417
_cell_angle_alpha 90.00
_cell_angle_beta 90.00
_cell_angle_gamma 90.00
_symmetry_space_group_name_H-M 'P 1'
_symmetry_Int_Tables_number 1
_symmetry_space_group_name_Hall 'P 1'
loop_
_atom_site_label
_atom_site_type_symbol
_atom_site_fract_x
_atom_site_fract_y
_atom_site_fract_z
Ca1 Ca 0.000 0.000 0.000
Y1 Y 0.000 0.500 0.000
Y2 Y 0.500 0.000 0.000
Bi1 Bi 0.000 0.000 0.500
Rh1 Rh 0.500 0.500 0.500



# TbY2In3Se6 | Alexandria | PBE | relaxed
# **E_form (uncorrected)**: -1.308 eV/atom
# **Calculated volume**: 347.4 Å³/f.u.
# **Symmetry**: C2/m, No. 12
data_TbY2In3Se6
_chemical_formula_sum 'Tb1 Y2 In3 Se6'
_cell_length_a 7.200
_cell_length_b 7.200
_cell_length_c 8.102
_cell_angle_alpha 98.52
_cell_angle_beta 98.52
_cell_angle_gamma 120.00
_symmetry_space_group_name_H-M 'P 1'
_symmetry_Int_Tables_number 1
_symmetry_space_group_name_Hall 'P 1'
loop_
_atom_site_label
_atom_site_type_symbol
_atom_site_fract_x
_atom_site_fract_y
_atom_site_fract_z
Tb1 Tb 0.000 0.000 0.000
Y1 Y 0.333 0.667 0.000
Y2 Y 0.667 0.333 0.000
In1 In 0.166 0.834 0.500
In2 In 0.500 0.500 0.500
In3 In 0.834 0.166 0.500
Se1 Se 0.070 0.404 0.209
Se2 Se 0.264 0.264 0.791
Se3 Se 0.404 0.070 0.209
Se4 Se 0.596 0.930 0.791
Se5 Se 0.736 0.736 0.209
Se6 Se 0.930 0.596 0.791